# 1
Here is crystalline LiAl3Tc at its relaxed geometry from Alexandria. Energies are from PBE.

a = 5.083 Å, b = 6.802 Å, c = 4.699 Å
α = 90.00°, β = 98.30°, γ = 90.00°
Atoms (fractional coordinates):
1 Tc 0.456 0.750 0.148
2 Al 0.976 0.750 0.216
3 Li 0.216 0.250 0.295
4 Al 0.688 0.438 0.350
5 Al 0.312 0.562 0.650
6 Tc 0.544 0.250 0.852
7 Al 0.688 0.062 0.350
8 Al 0.024 0.250 0.784
9 Al 0.312 0.938 0.650
10 Li 0.784 0.750 0.705

Results
For the formation enthalpy at 0 K, the calculation gives -2.54 kcal/mol of atoms. The total magnetization comes out at 0.00 μB/f.u. The energy above the most stable polymorph in this dataset is 157 meV per atom. As for the density: 3.84 Mg/m³. Its crystal system is monoclinic.

# 2
Here is crystalline LiAl6Tc at its relaxed geometry from Alexandria. Energies are from PBE.

a = 5.447 Å, b = 5.447 Å, c = 5.439 Å
α = 71.81°, β = 71.81°, γ = 107.97°
Atoms (fractional coordinates):
1 Al 0.750 0.247 0.753
2 Al 0.753 0.250 0.247
3 Al 0.250 0.753 0.247
4 Al 0.753 0.753 0.751
5 Al 0.247 0.247 0.249
6 Li 0.500 0.500 0.500
7 Al 0.247 0.750 0.753
8 Tc 0.000 0.000 0.000

Results
For the formation enthalpy at 0 K, the calculation gives 0.51 kcal/mol of atoms. The total magnetization comes out at 0.00 μB/f.u. As for the density: 3.41 Mg/m³. Its crystal system is monoclinic.

# 3
Here is crystalline LiAl5Tc at its relaxed geometry from Alexandria. Energies are from PBE.

a = 4.821 Å, b = 6.583 Å, c = 6.250 Å
α = 121.78°, β = 112.69°, γ = 90.00°
Atoms (fractional coordinates):
1 Tc 0.945 0.000 0.000
2 Al 0.168 0.500 0.000
3 Al 0.454 0.821 0.000
4 Al 0.454 0.179 0.000
5 Al 0.160 0.252 0.504
6 Li 0.693 0.500 0.000
7 Al 0.656 0.748 0.496

Results
For the formation enthalpy at 0 K, the calculation gives 11.49 kcal/mol of atoms. The total magnetization comes out at 0.01 μB/f.u. As for the density: 2.65 Mg/m³. Its crystal system is orthorhombic.

# 4
Here is crystalline LiAl3Tc at its relaxed geometry from Alexandria. Energies are from PBE.

a = 4.765 Å, b = 4.765 Å, c = 4.765 Å
α = 90.00°, β = 90.00°, γ = 90.00°
Atoms (fractional coordinates):
1 Li 0.500 0.500 0.500
2 Al 0.500 0.000 0.000
3 Tc 0.000 0.000 0.000
4 Al 0.000 0.500 0.000
5 Al 0.000 0.000 0.500

Results
For the formation enthalpy at 0 K, the calculation gives 0.33 kcal/mol of atoms. The total magnetization comes out at 0.00 μB/f.u. The energy above the most stable polymorph in this dataset is 281 meV per atom. As for the density: 2.85 Mg/m³. Its crystal system is cubic.

# 5
Here is crystalline Li2Al6Tc at its relaxed geometry from Alexandria. Energies are from PBE.

a = 4.305 Å, b = 8.006 Å, c = 8.015 Å
α = 90.00°, β = 90.00°, γ = 90.00°
Atoms (fractional coordinates):
1 Al 0.500 0.471 0.673
2 Al 0.500 0.125 0.624
3 Al 0.000 0.328 0.470
4 Li 0.500 0.798 0.703
5 Tc 0.500 0.500 0.000
6 Li 0.000 0.298 0.797
7 Al 0.000 0.625 0.876
8 Tc 0.000 0.000 0.500
9 Al 0.000 0.029 0.173
10 Al 0.500 0.529 0.327
11 Al 0.500 0.172 0.970
12 Al 0.500 0.875 0.376
13 Al 0.000 0.971 0.827
14 Al 0.000 0.672 0.530
15 Al 0.500 0.828 0.030
16 Li 0.000 0.702 0.203
17 Al 0.000 0.375 0.124
18 Li 0.500 0.202 0.297

Results
For the formation enthalpy at 0 K, the calculation gives -3.76 kcal/mol of atoms. The total magnetization comes out at 0.00 μB/f.u. The energy above the most stable polymorph in this dataset is 60 meV per atom. As for the density: 3.29 Mg/m³. Its crystal system is orthorhombic.

# 6
Here is crystalline LiAlTc3 at its relaxed geometry from Alexandria. Energies are from PBE.

a = 4.139 Å, b = 4.139 Å, c = 4.139 Å
α = 90.00°, β = 90.00°, γ = 90.00°
Atoms (fractional coordinates):
1 Tc 0.000 0.000 0.500
2 Al 0.500 0.500 0.500
3 Li 0.000 0.000 0.000
4 Tc 0.500 0.000 0.000
5 Tc 0.000 0.500 0.000

Results
For the formation enthalpy at 0 K, the calculation gives 23.03 kcal/mol of atoms. The total magnetization comes out at 0.00 μB/f.u. The energy above the most stable polymorph in this dataset is 0 meV per atom. As for the density: 7.68 Mg/m³. Its crystal system is cubic.

# 7
Here is crystalline LiAl3Tc at its relaxed geometry from Alexandria. Energies are from PBE.

a = 4.804 Å, b = 4.339 Å, c = 7.597 Å
α = 90.00°, β = 113.77°, γ = 90.00°
Atoms (fractional coordinates):
1 Al 0.392 0.844 0.181
2 Al 0.041 0.345 0.214
3 Al 0.837 0.344 0.816
4 Li 0.442 0.344 0.009
5 Tc 0.231 0.344 0.616
6 Al 0.188 0.844 0.799
7 Tc 0.795 0.844 0.999
8 Li 0.584 0.844 0.605
9 Al 0.634 0.344 0.434
10 Al 0.984 0.845 0.400

Results
For the formation enthalpy at 0 K, the calculation gives -6.15 kcal/mol of atoms. The total magnetization comes out at 0.00 μB/f.u. The energy above the most stable polymorph in this dataset is 0 meV per atom. As for the density: 4.26 Mg/m³. Its crystal system is monoclinic.

# 8
Here is crystalline Li2Al6Tc at its relaxed geometry from Alexandria. Energies are from PBE.

a = 4.545 Å, b = 6.788 Å, c = 5.044 Å
α = 101.21°, β = 116.77°, γ = 90.00°
Atoms (fractional coordinates):
1 Tc 0.500 0.500 0.000
2 Al 0.844 0.508 0.688
3 Al 0.605 0.180 0.209
4 Al 0.156 0.492 0.312
5 Al 0.290 0.165 0.579
6 Al 0.395 0.820 0.791
7 Li 0.056 0.837 0.113
8 Al 0.710 0.835 0.421
9 Li 0.944 0.163 0.887

Results
For the formation enthalpy at 0 K, the calculation gives -5.16 kcal/mol of atoms. The total magnetization comes out at 0.00 μB/f.u. The energy above the most stable polymorph in this dataset is 0 meV per atom. As for the density: 3.35 Mg/m³. Its crystal system is monoclinic.

# 9
Here is crystalline LiAlTc2 at its relaxed geometry from Alexandria. Energies are from PBE.

a = 4.525 Å, b = 4.525 Å, c = 4.826 Å
α = 84.37°, β = 84.37°, γ = 35.39°
Atoms (fractional coordinates):
1 Al 0.494 0.494 0.482
2 Tc 0.756 0.756 0.771
3 Li 0.247 0.247 0.265
4 Tc 0.003 0.003 0.982

Results
For the formation enthalpy at 0 K, the calculation gives -0.51 kcal/mol of atoms. The total magnetization comes out at 0.00 μB/f.u. As for the density: 6.71 Mg/m³. Its crystal system is monoclinic.

# 10
Here is crystalline LiAlTc at its relaxed geometry from Alexandria. Energies are from PBE.

a = 4.149 Å, b = 4.149 Å, c = 4.149 Å
α = 60.00°, β = 60.00°, γ = 60.00°
Each line ends with the local moment (μB).
Atoms (fractional coordinates):
1 Al 0.750 0.750 0.750  -0.04
2 Tc 0.500 0.500 0.500  1.08
3 Li 0.000 0.000 0.000  -0.03

Results
For the formation enthalpy at 0 K, the calculation gives 12.30 kcal/mol of atoms. The total magnetization comes out at 1.02 μB/f.u. The energy above the most stable polymorph in this dataset is 783 meV per atom. As for the density: 4.34 Mg/m³. Its crystal system is cubic.

# 11
Here is crystalline LiAlTc2 at its relaxed geometry from Alexandria. Energies are from PBE.

a = 6.734 Å, b = 6.734 Å, c = 5.391 Å
α = 51.35°, β = 51.35°, γ = 90.00°
Atoms (fractional coordinates):
1 Al 0.000 0.000 0.000
2 Al 0.750 0.250 0.500
3 Li 0.250 0.750 0.500
4 Tc 0.611 0.125 0.250
5 Tc 0.375 0.389 0.750
6 Tc 0.875 0.861 0.750
7 Tc 0.139 0.625 0.250
8 Li 0.500 0.500 0.000

Results
For the formation enthalpy at 0 K, the calculation gives 10.77 kcal/mol of atoms. The total magnetization comes out at 0.00 μB/f.u. As for the density: 6.66 Mg/m³. Its crystal system is tetragonal.

# 12
Here is crystalline LiAlTc2 at its relaxed geometry from Alexandria. Energies are from PBE.

a = 3.046 Å, b = 3.046 Å, c = 6.034 Å
α = 90.00°, β = 90.00°, γ = 90.00°
Atoms (fractional coordinates):
1 Tc 0.000 0.000 0.005
2 Li 0.500 0.500 0.748
3 Al 0.000 0.000 0.514
4 Tc 0.500 0.500 0.233

Results
For the formation enthalpy at 0 K, the calculation gives -3.50 kcal/mol of atoms. The total magnetization comes out at 0.00 μB/f.u. As for the density: 6.82 Mg/m³. Its crystal system is tetragonal.